Record 1
An optimized crystal structure of MnTc2Te, computed with PBE-GGA.

Formation energy from raw total energies: 0.3163 eV/atom
SG: C2/m, No. 12
Magnetic moment: 2.6 μB per formula unit
Calculated volume: 64.1 Å³ per cell
D(E_F): 3.64 states/eV/f.u.

a = 4.594 Å, b = 4.594 Å, c = 4.930 Å
α = 100.55°, β = 100.55°, γ = 38.91°
Element x y z (fractional)
1 Mn 0.000 0.000 0.000
2 Tc 0.260 0.260 0.779
3 Tc 0.740 0.740 0.221
4 Te 0.500 0.500 0.500


Record 2
An optimized crystal structure of Na3Y3AsS8, computed with PBE-GGA.

Formation energy from raw total energies: -1.4360 eV/atom
SG: R-3m, No. 166
Magnetic moment: 0.0 μB per formula unit
Calculated volume: 358.9 Å³ per cell
D(E_F): 1.26 states/eV/f.u.

a = 8.119 Å, b = 8.119 Å, c = 8.119 Å
α = 57.76°, β = 57.76°, γ = 57.76°
Element x y z (fractional)
1 Na 0.000 0.500 0.500
2 Na 0.500 0.000 0.500
3 Na 0.500 0.500 0.000
4 Y 0.000 0.000 0.500
5 Y 0.000 0.500 0.000
6 Y 0.500 0.000 0.000
7 As 0.500 0.500 0.500
8 S 0.242 0.242 0.242
9 S 0.263 0.725 0.725
10 S 0.275 0.275 0.737
11 S 0.275 0.737 0.275
12 S 0.725 0.263 0.725
13 S 0.725 0.725 0.263
14 S 0.737 0.275 0.275
15 S 0.758 0.758 0.758


Record 3
An optimized crystal structure of KNa2BiH, computed with PBE-GGA.

SG: P4/mmm, No. 123
Magnetic moment: 0.0 μB per formula unit
Calculated volume: 133.3 Å³ per cell
VASP energy: -2.38 eV per atom
D(E_F): 4.02 states/eV/f.u.

a = 5.017 Å, b = 5.017 Å, c = 5.297 Å
α = 90.00°, β = 90.00°, γ = 90.00°
Element x y z (fractional)
1 K 0.000 0.000 0.000
2 Na 0.000 0.500 0.500
3 Na 0.500 0.000 0.500
4 Bi 0.500 0.500 0.000
5 H 0.000 0.000 0.500